## P
Computed, not measured: a geometry-optimized LiSb2Au structure at the PBE level of DFT.

size of the total moment	0.000	μB per cell

a b c (Å): 6.303 7.814 3.567
angles (deg): 90.00 90.00 90.00
Space group Cmmm (No. 65)
Asymmetric unit:
1 Li 0.000 0.000 0.000 [2 per cell]
2 Sb 0.250 0.250 0.500 [4 per cell]
3 Au 0.000 0.500 0.000 [2 per cell]

***

## Q
Computed, not measured: a geometry-optimized LiSb2Au structure at the PBE level of DFT.

size of the total moment	0.000	μB per cell

a b c (Å): 4.063 5.425 8.293
angles (deg): 90.00 90.00 90.00
Space group Cmmm (No. 65)
Asymmetric unit:
1 Li 0.000 0.000 0.000 [2 per cell]
2 Sb 0.000 0.500 0.258 [4 per cell]
3 Au 0.000 0.000 0.500 [2 per cell]

***

## R
Computed, not measured: a geometry-optimized LiSb2Au structure at the PBE level of DFT.

size of the total moment	0.000	μB per cell

a b c (Å): 9.041 9.041 5.137
angles (deg): 90.00 90.00 90.00
Space group I-42d (No. 122)
Asymmetric unit:
1 Li 0.000 0.000 0.000 [4 per cell]
2 Sb 0.158 0.750 0.625 [8 per cell]
3 Au 0.000 0.000 0.500 [4 per cell]

***

Tell me which of them is the most stable. Sure, it is R.

***

## P
Computed, not measured: a geometry-optimized LiSb2Au structure at the PBE level of DFT.

size of the total moment	0.000	μB per cell

a b c (Å): 3.070 4.198 7.121
angles (deg): 90.00 90.00 90.00
Space group Pmm2 (No. 25)
Asymmetric unit:
1 Li 0.000 0.000 0.000 [1 per cell]
2 Sb 0.500 0.000 0.588 [1 per cell]
3 Sb 0.500 0.500 0.239 [1 per cell]
4 Au 0.500 0.500 0.849 [1 per cell]

***

## Q
Computed, not measured: a geometry-optimized LiSb2Au structure at the PBE level of DFT.

size of the total moment	0.000	μB per cell

a b c (Å): 6.939 3.138 8.524
angles (deg): 90.00 99.32 90.00
Space group Pm (No. 6)
Asymmetric unit:
1 Li 0.000 0.000 0.000 [1 per cell]
2 Li 0.373 0.000 0.740 [1 per cell]
3 Sb 0.017 0.500 0.698 [1 per cell]
4 Sb 0.174 0.500 0.295 [1 per cell]
5 Sb 0.583 0.500 0.517 [1 per cell]
6 Sb 0.715 0.500 0.182 [1 per cell]
7 Au 0.323 0.500 0.000 [1 per cell]
8 Au 0.685 0.500 0.856 [1 per cell]

***

Tell me which of them is the most stable. Sure, it is P.

***

## P
Computed, not measured: a geometry-optimized LiSb2Au structure at the PBE level of DFT.

size of the total moment	0.000	μB per cell

a b c (Å): 8.762 3.848 5.480
angles (deg): 90.00 105.07 90.00
Space group C2/m (No. 12)
Asymmetric unit:
1 Li 0.000 0.000 0.000 [2 per cell]
2 Sb 0.242 0.000 0.759 [4 per cell]
3 Au 0.000 0.500 0.500 [2 per cell]

***

## Q
Computed, not measured: a geometry-optimized LiSb2Au structure at the PBE level of DFT.

size of the total moment	0.000	μB per cell

a b c (Å): 4.503 4.503 8.792
angles (deg): 90.00 90.00 90.00
Space group I4/mmm (No. 139)
Asymmetric unit:
1 Li 0.000 0.000 0.000 [2 per cell]
2 Sb 0.000 0.500 0.250 [4 per cell]
3 Au 0.000 0.000 0.500 [2 per cell]

***

## R
Computed, not measured: a geometry-optimized LiSb2Au structure at the PBE level of DFT.

size of the total moment	0.000	μB per cell

a b c (Å): 4.4655 4.4655 16.8782
angles (deg): 90.00 90.00 120.00
Space group R3m (No. 160, hexagonal axes)
Asymmetric unit:
1 Li 0.0000 0.0000 0.0000 [3 per cell]
2 Sb 0.0000 0.0000 0.5799 [3 per cell]
3 Sb 0.0000 0.0000 0.7552 [3 per cell]
4 Au 0.0000 0.0000 0.1661 [3 per cell]

***

Tell me which of them is the most stable. Sure, it is R.

***

## P
Computed, not measured: a geometry-optimized LiSb2Au structure at the PBE level of DFT.

size of the total moment	0.000	μB per cell

a b c (Å): 3.233 4.421 6.535
angles (deg): 90.00 90.16 90.00
Space group P2/m (No. 10)
Asymmetric unit:
1 Li 0.000 0.000 0.000 [1 per cell]
2 Sb 0.498 0.500 0.767 [2 per cell]
3 Au 0.500 0.000 0.500 [1 per cell]

***

## Q
Computed, not measured: a geometry-optimized LiSb2Au structure at the PBE level of DFT.

size of the total moment	0.000	μB per cell

a b c (Å): 8.841 13.496 3.109
angles (deg): 90.00 90.00 90.00
Space group Cmmm (No. 65)
Asymmetric unit:
1 Li 0.250 0.250 0.000 [4 per cell]
2 Sb 0.000 0.134 0.500 [4 per cell]
3 Sb 0.199 0.500 0.500 [4 per cell]
4 Au 0.000 0.336 0.500 [4 per cell]

***

Tell me which of them is the most stable. Sure, it is Q.

***

## P
Computed, not measured: a geometry-optimized LiSb2Au structure at the PBE level of DFT.

size of the total moment	0.000	μB per cell

a b c (Å): 3.089 8.663 6.781
angles (deg): 90.00 90.00 90.00
Space group Amm2 (No. 38)
Asymmetric unit:
1 Li 0.000 0.000 0.000 [2 per cell]
2 Sb 0.500 0.202 0.686 [4 per cell]
3 Au 0.500 0.000 0.349 [2 per cell]

***

## Q
Computed, not measured: a geometry-optimized LiSb2Au structure at the PBE level of DFT.

size of the total moment	0.000	μB per cell

a b c (Å): 4.280 4.296 9.566
angles (deg): 90.00 90.00 90.00
Space group Imm2 (No. 44)
Asymmetric unit:
1 Li 0.000 0.000 0.000 [2 per cell]
2 Sb 0.000 0.000 0.500 [2 per cell]
3 Sb 0.000 0.500 0.750 [2 per cell]
4 Au 0.000 0.500 0.251 [2 per cell]

***

Tell me which of them is the most stable. Sure, it is P.

***

## P
Computed, not measured: a geometry-optimized LiSb2Au structure at the PBE level of DFT.

size of the total moment	0.000	μB per cell

a b c (Å): 4.108 4.108 5.635
angles (deg): 90.00 90.00 90.00
Space group P4mm (No. 99)
Asymmetric unit:
1 Li 0.000 0.000 0.000 [1 per cell]
2 Sb 0.000 0.000 0.508 [1 per cell]
3 Sb 0.500 0.500 0.318 [1 per cell]
4 Au 0.500 0.500 0.832 [1 per cell]

***

## Q
Computed, not measured: a geometry-optimized LiSb2Au structure at the PBE level of DFT.

size of the total moment	0.000	μB per cell

a b c (Å): 3.348 3.348 8.073
angles (deg): 90.00 90.00 90.00
Space group P4mm (No. 99)
Asymmetric unit:
1 Li 0.000 0.000 0.000 [1 per cell]
2 Sb 0.000 0.000 0.618 [1 per cell]
3 Sb 0.500 0.500 0.210 [1 per cell]
4 Au 0.500 0.500 0.843 [1 per cell]

***

Tell me which of them is the most stable. Sure, it is Q.

***

## P
Computed, not measured: a geometry-optimized Li3Sb2Au structure at the PBE level of DFT.

size of the total moment	0.000	μB per cell

a b c (Å): 6.459 9.413 8.924
angles (deg): 90.00 90.00 90.00
Space group Ibam (No. 72)
Asymmetric unit:
1 Li 0.000 0.000 0.250 [4 per cell]
2 Li 0.000 0.320 0.250 [8 per cell]
3 Sb 0.135 0.133 0.000 [8 per cell]
4 Au 0.000 0.500 0.000 [4 per cell]

***

## Q
Computed, not measured: a geometry-optimized Li3Sb2Au structure at the PBE level of DFT.

size of the total moment	0.000	μB per cell

a b c (Å): 11.220 7.779 5.743
angles (deg): 90.00 97.09 90.00
Space group C2/c (No. 15)
Asymmetric unit:
1 Li 0.000 0.059 0.250 [4 per cell]
2 Li 0.210 0.424 0.026 [8 per cell]
3 Sb 0.134 0.241 0.610 [8 per cell]
4 Au 0.000 0.433 0.250 [4 per cell]

***

Tell me which of them is the most stable. Sure, it is Q.

***

## P
Computed, not measured: a geometry-optimized Li2SbAu6 structure at the PBE level of DFT.

size of the total moment	0.000	μB per cell

a b c (Å): 4.358 10.185 9.548
angles (deg): 90.00 90.00 90.00
Space group Amm2 (No. 38)
Asymmetric unit:
1 Li 0.000 0.180 0.000 [4 per cell]
2 Sb 0.500 0.000 0.716 [2 per cell]
3 Au 0.000 0.000 0.213 [2 per cell]
4 Au 0.000 0.167 0.725 [4 per cell]
5 Au 0.500 0.000 0.992 [2 per cell]
6 Au 0.500 0.167 0.225 [4 per cell]

***

## Q
Computed, not measured: a geometry-optimized Li2SbAu6 structure at the PBE level of DFT.

size of the total moment	0.000	μB per cell

a b c (Å): 9.068 4.271 8.676
angles (deg): 90.00 106.38 90.00
Space group C2/m (No. 12)
Asymmetric unit:
1 Li 0.179 0.000 0.238 [4 per cell]
2 Sb 0.000 0.500 0.000 [2 per cell]
3 Au 0.004 0.500 0.334 [4 per cell]
4 Au 0.164 0.000 0.886 [4 per cell]
5 Au 0.166 0.000 0.553 [4 per cell]

***

Tell me which of them is the most stable. Sure, it is Q.